Density functional theory data (PBE) for NaLiB2Rh after structural relaxation.

Calculated values
**Symmetry**: P4/mmm
**E_form**: 9.76 eV per formula unit
**Electronic total energy**: -0.104 Ha/atom
**ρ**: 4.0 g/cm³

Cell: 4.2059 3.6438 4.2059 Å, 90.00 90.00 90.00°
With the nearest neighbours (Å) after each atom.
Atoms (fractional coordinates):
Na (0.0000, 0.0000, 0.0000)  2 Li 1.82
B (0.0000, 0.0000, 0.5000)  2 Na 2.10
B (0.5000, 0.0000, 0.0000)  2 Na 2.10
Li (0.0000, 0.5000, 0.0000)  2 Na 1.82
Rh (0.5000, 0.5000, 0.5000)  8 B 2.78, 4 Li 2.97